1.
First-principles (GGA-PBE) data for a relaxed structure of SrTmRe2N6, as listed in Alexandria via LeMat-Bulk.

extended XYZ file:
```
20
Lattice="5.675 -5.025 0.000 5.675 5.025 0.000 -2.548 0.000 5.943" Properties=species:S:1:pos:R:3 pbc="T T T"
Sr 3.764 4.087 4.457
Sr 5.038 -4.087 1.486
Tm 5.038 2.063 1.486
Tm 3.764 -2.063 4.457
Re 1.253 0.850 4.799
Re 2.527 -0.850 1.828
Re 6.274 0.850 4.116
Re 7.548 -0.850 1.144
N 3.482 3.766 1.851
N 2.199 2.312 5.153
N 6.594 3.766 1.121
N 3.584 0.213 0.633
N 2.310 -0.213 3.604
N 5.328 2.312 3.761
N 3.473 -2.312 2.182
N 6.491 0.213 2.339
N 5.217 -0.213 5.310
N 2.208 -3.766 4.822
N 6.602 -2.312 0.790
N 5.320 -3.766 4.093
```

- ΔE_f (raw) (eV per atom) = -0.574
- SG = C2/c, No. 15
- D(E_F) (states/eV/f.u.) = 3.33

=====

2.
First-principles (GGA-PBE) data for a relaxed structure of LiGa6Cu8, as listed in Alexandria via LeMat-Bulk.

extended XYZ file:
```
15
Lattice="9.900 0.000 0.000 -4.950 8.574 0.000 0.000 0.000 2.613" Properties=species:S:1:pos:R:3 pbc="T T T"
Li 0.000 0.000 0.000
Ga -2.174 5.522 0.586
Ga 1.255 3.930 0.586
Ga 4.031 0.878 2.027
Ga 0.919 7.696 0.586
Ga 3.695 4.644 2.027
Ga 7.124 3.052 2.027
Cu -0.749 2.186 0.726
Cu -2.683 8.129 0.726
Cu 1.519 1.741 1.887
Cu 0.000 5.716 1.883
Cu 4.950 2.858 0.730
Cu 3.431 6.832 0.726
Cu 7.633 0.445 1.887
Cu 5.699 6.388 1.887
```

- total DFT energy (no corrections) (eV per atom) = -3.50
- SG = P-3, No. 147
- D(E_F) (states/eV/f.u.) = 6.88

=====

3.
First-principles (GGA-PBE) data for a relaxed structure of Ca3HfO, as listed in Alexandria via LeMat-Bulk.

extended XYZ file:
```
5
Lattice="4.967 0.000 0.000 0.000 4.967 0.000 0.000 0.000 4.967" Properties=species:S:1:pos:R:3 pbc="T T T"
Ca 0.000 0.000 2.483
Ca 0.000 2.483 0.000
Ca 2.483 0.000 0.000
Hf 2.483 2.483 2.483
O 0.000 0.000 0.000
```

- ΔE_f (raw) (eV per atom) = -0.614
- SG = Pm-3m, No. 221
- offset from the most stable computed form (meV per atom) = 0
- D(E_F) (states/eV/f.u.) = 8.70